(1)
Ca2TePb | Alexandria | PBE | optimized geometry; energy relative to the elements, uncorrected = -69.7 kJ per mole of atoms; energy = -0.1262 hartree per atom; DOS at the Fermi energy = 0.8530 states/eV/atom; distance to the lowest polymorph of the same formula = 0.964 eV/f.u.
1.0
0.0000 3.9369 3.9369
3.9369 0.0000 3.9369
3.9369 3.9369 0.0000
Ca Te Pb
2 1 1
direct
0.2500 0.2500 0.2500
0.7500 0.7500 0.7500
0.0000 0.0000 0.0000
0.5000 0.5000 0.5000

---

(2)
Ca2TePb | Alexandria | PBE | optimized geometry; energy relative to the elements, uncorrected = -77.2 kJ per mole of atoms; energy = -0.1291 hartree per atom; DOS at the Fermi energy = 1.0150 states/eV/atom; distance to the lowest polymorph of the same formula = 0.652 eV/f.u.
1.0
4.5441 0.0000 0.0000
0.0000 4.5441 0.0000
0.0000 0.0000 6.5429
Ca Te Pb
2 1 1
direct
0.0000 0.0000 0.0000
0.5000 0.5000 0.4987
0.5000 0.5000 0.9989
0.0000 0.0000 0.5001

---

(3)
Ca2TePb | Alexandria | PBE | optimized geometry; energy relative to the elements, uncorrected = -87.0 kJ per mole of atoms; energy = -0.1328 hartree per atom; DOS at the Fermi energy = 0.3096 states/eV/atom; distance to the lowest polymorph of the same formula = 0.246 eV/f.u.
1.0
3.8276 0.0000 0.0000
0.0000 3.8276 0.0000
0.0000 0.0000 8.3607
Ca Te Pb
2 1 1
direct
0.0000 0.0000 0.2295
0.0000 0.0000 0.7705
0.5000 0.5000 0.0000
0.5000 0.5000 0.5000

---

(4)
CaTePb3 | Alexandria | PBE | optimized geometry; energy relative to the elements, uncorrected = 22.8 kJ per mole of atoms; energy = -0.1109 hartree per atom; DOS at the Fermi energy = 0.5398 states/eV/atom; distance to the lowest polymorph of the same formula = 0.000 eV/f.u.
1.0
5.9899 0.0000 0.0000
0.0000 5.9899 0.0000
0.0000 0.0000 5.9899
Ca Te Pb
1 1 3
direct
0.0000 0.0000 0.0000
0.5000 0.5000 0.5000
0.0000 0.5000 0.5000
0.5000 0.0000 0.5000
0.5000 0.5000 0.0000